# 1
Os2PbSe | Alexandria via LeMat-Bulk | GGA-PBEsol | optimized geometry; electronic total energy = -27.82 eV per formula unit; formation energy without anion corrections = 1.1148 eV per atom; V = 17.3 Å³ per atom; energy above the lowest structure with this stoichiometry = 32.5 kJ/mol of atoms
1.0
-1.3903 -1.1254 -2.3742
3.3907 -2.9387 -0.5926
-2.4060 -3.3836 3.0127
Os Pb Se
2 1 1
Cartesian
0.0000 0.0000 0.0000
-1.8981 -2.2545 0.3192
1.0002 -2.0320 -1.4834
0.4923 -3.1611 1.2100


# 2
Os2PbSe | Alexandria via LeMat-Bulk | GGA-PBEsol | optimized geometry; electronic total energy = -28.64 eV per formula unit; formation energy without anion corrections = 0.9113 eV per atom; V = 16.6 Å³ per atom; energy above the lowest structure with this stoichiometry = 12.8 kJ/mol of atoms
1.0
3.1575 0.0000 0.0000
0.0000 3.1575 0.0000
0.0000 0.0000 6.6578
Os Pb Se
2 1 1
Cartesian
0.0000 0.0000 4.7790
0.0000 0.0000 1.8789
1.5787 1.5787 0.0000
1.5787 1.5787 3.3289


# 3
SiOsPb | Alexandria via LeMat-Bulk | GGA-PBEsol | optimized geometry; electronic total energy = -17.20 eV per formula unit; formation energy without anion corrections = 1.5862 eV per atom; V = 21.0 Å³ per atom
1.0
4.4641 0.0000 0.0000
2.2321 3.8661 0.0000
2.2321 1.2887 3.6450
Os Pb Si
1 1 1
Cartesian
4.4641 2.5774 1.8225
6.6962 3.8661 2.7337
0.0000 0.0000 0.0000


# 4
SnOs3Pb | Alexandria via LeMat-Bulk | GGA-PBEsol | optimized geometry; energy of formation = 2516 meV per atom; electronic total energy = -32.32 eV per formula unit; V = 22.6 Å³ per atom
1.0
-0.1786 -0.9175 -4.7466
-2.3284 -4.1463 0.8891
-4.2368 2.3173 -0.2885
Pb Os Sn
1 3 1
Cartesian
-3.3719 -1.3733 -2.0730
-1.1642 -2.0732 0.4445
-2.1184 1.1587 -0.1443
-0.0893 -0.4588 -2.3733
0.0000 0.0000 0.0000


# 5
Sn2OsPb2 | Alexandria via LeMat-Bulk | GGA-PBEsol | optimized geometry; energy of formation = 1070 meV per atom; electronic total energy = -23.38 eV per formula unit; V = 26.3 Å³ per atom
1.0
-1.7061 -3.4365 -0.8141
1.8404 -0.0934 -3.4623
6.5129 -2.3569 5.7471
Pb Os Sn
2 1 2
Cartesian
4.2102 -2.1076 0.0733
2.4370 -3.7791 1.3974
0.0000 0.0000 0.0000
5.5005 -3.4455 3.0168
1.1467 -2.4412 -1.5461


# 6
SrOs2Pb | Alexandria via LeMat-Bulk | GGA-PBEsol | optimized geometry; energy of formation = 1130 meV per atom; electronic total energy = -25.75 eV per formula unit; V = 19.2 Å³ per atom
1.0
2.9173 0.0047 0.0000
-0.2005 5.4416 0.0000
-1.3584 -2.7232 4.8368
Os Pb Sr
2 1 1
Cartesian
0.6792 1.3616 2.4184
-0.6792 -1.3616 2.4184
-0.1002 2.7208 0.0000
1.4586 0.0024 0.0000